Material: Rb4Pa3PbS12
Method: DFT, PBE
State: optimized geometry

a = 9.1798 Å, b = 9.1798 Å, c = 9.1798 Å
α = 109.47°, β = 109.47°, γ = 109.47°
Last column: nearest neighbours and their distance in Å.
Atoms (fractional coordinates):
Rb 0.0000 0.0000 0.5000  12 S 3.75
Rb 0.0000 0.5000 0.0000  12 S 3.75
Rb 0.5000 0.0000 0.0000  12 S 3.75
Rb 0.5000 0.5000 0.5000  12 S 3.75
Pa 0.0000 0.5000 0.5000  6 S 2.56-2.65
Pa 0.5000 0.0000 0.5000  6 S 2.56-2.65
Pa 0.5000 0.5000 0.0000  6 S 2.56-2.65
Pb 0.0000 0.0000 0.0000  6 S 2.74
S 0.0000 0.2587 0.2587  1 Pa 2.56, 1 Pb 2.74
S 0.0000 0.7413 0.7413  1 Pa 2.56, 1 Pb 2.74
S 0.2500 0.5000 0.7500  2 Pa 2.65
S 0.2500 0.7500 0.5000  2 Pa 2.65
S 0.2587 0.0000 0.2587  1 Pa 2.56, 1 Pb 2.74
S 0.2587 0.2587 0.0000  1 Pa 2.56, 1 Pb 2.74
S 0.5000 0.2500 0.7500  2 Pa 2.65
S 0.5000 0.7500 0.2500  2 Pa 2.65
S 0.7413 0.0000 0.7413  1 Pa 2.56, 1 Pb 2.74
S 0.7413 0.7413 0.0000  1 Pa 2.56, 1 Pb 2.74
S 0.7500 0.2500 0.5000  2 Pa 2.65
S 0.7500 0.5000 0.2500  2 Pa 2.65

DOS(E_F) = 0.643 states/eV/atom
Raw formation energy = -1224 meV per atom
Magnetic moment = 0.00 Bohr magnetons per cell

Material: MgCrB3
Method: DFT, PBE
State: optimized geometry

a = 3.8760 Å, b = 3.8760 Å, c = 3.8760 Å
α = 90.00°, β = 90.00°, γ = 90.00°
Last column: nearest neighbours and their distance in Å.
Atoms (fractional coordinates):
Mg 0.0000 0.0000 0.0000  12 B 2.74
Cr 0.5000 0.5000 0.5000  6 B 1.94
B 0.0000 0.5000 0.5000  2 Cr 1.94
B 0.5000 0.0000 0.5000  2 Cr 1.94
B 0.5000 0.5000 0.0000  2 Cr 1.94

Energy relative to the elements = 0.70 eV/atom
DOS(E_F) = 0.351 states/eV/atom
Energy above the lowest structure with this stoichiometry = 0.000 eV per atom
Magnetic moment = 0.31 Bohr magnetons per cell